Entry from Alexandria via LeMat-Bulk: a relaxed structure of Hf6Zr2Ru (PBE).

Unit cell a=15.0027 b=8.4466 c=3.0958 alpha=90.00 beta=90.12 gamma=90.00
Closest atoms and distances in Å follow each position.
Space group C2/m (No. 12)
Symmetry-distinct sites (fractional):
Hf: 0.0000 0.1944 0.0000 [4 per cell]  2 Ru 3.01, 7 Hf 3.05-3.28, 2 Zr 3.10
Hf: 0.1589 0.3268 0.5007 [8 per cell]  1 Ru 2.80, 6 Hf 2.93-3.10
Zr: 0.1749 0.0000 0.9984 [4 per cell]  10 Hf 3.10-3.28, 2 Zr 3.10
Ru: 0.0000 0.5000 0.5000 [2 per cell]  8 Hf 2.80-3.01, 2 Ru 3.10

Summary:
V: 392.3 Å³ per cell
DFT total energy: -9.477 eV per atom